1.
! PBE PaSn2Hg, optimized geometry; values from VASP
&SYSTEM
  ibrav = 0, nat = 4, ntyp = 3
/
ATOMIC_SPECIES
Pa 231.04 Pa.upf
Sn 118.71 Sn.upf
Hg 200.59 Hg.upf
ATOMIC_POSITIONS crystal
Pa 0.000 0.000 0.000
Sn 0.250 0.250 0.250
Sn 0.750 0.750 0.750
Hg 0.500 0.500 0.500
CELL_PARAMETERS angstrom
0.000 3.739 3.739
3.739 0.000 3.739
3.739 3.739 0.000
! * E_tot: -4.302 eV/atom
! * energy above the lowest structure with this stoichiometry: 381.8 meV/atom
! * magnetization: 1.66 Bohr magnetons per cell
! * ΔE_f: 149 meV/atom
! * SG: No. 225
! * N(E_F): 1.579 states/eV/atom

---

2.
! PBE Al2C, optimized geometry; values from VASP
&SYSTEM
  ibrav = 0, nat = 9, ntyp = 2
/
ATOMIC_SPECIES
Al 26.98 Al.upf
C 12.01 C.upf
ATOMIC_POSITIONS crystal
Al 0.000 0.000 0.120
Al 0.000 0.000 0.880
Al 0.333 0.667 0.567
Al 0.333 0.667 0.736
Al 0.667 0.333 0.264
Al 0.667 0.333 0.433
C 0.000 0.000 0.500
C 0.333 0.667 0.867
C 0.667 0.333 0.133
CELL_PARAMETERS angstrom
3.293 0.000 0.000
-1.646 2.851 0.000
0.000 0.000 15.042
! * E_tot: -5.334 eV/atom
! * magnetization: 0.00 Bohr magnetons per cell
! * ΔE_f: 235 meV/atom
! * SG: No. 164
! * N(E_F): 0.148 states/eV/atom

---

3.
! PBE BaLi2AgMo, optimized geometry; values from VASP
&SYSTEM
  ibrav = 0, nat = 5, ntyp = 4
/
ATOMIC_SPECIES
Ba 137.33 Ba.upf
Li 6.94 Li.upf
Ag 107.87 Ag.upf
Mo 95.94 Mo.upf
ATOMIC_POSITIONS crystal
Ba 0.000 0.000 0.000
Li 0.000 0.500 0.000
Li 0.500 0.000 0.000
Ag 0.500 0.500 0.500
Mo 0.000 0.000 0.500
CELL_PARAMETERS angstrom
5.089 0.000 0.000
0.000 5.089 0.000
0.000 0.000 5.139
! * E_tot: -2.274 eV/atom
! * magnetization: 1.49 Bohr magnetons per cell
! * ΔE_f: 1612 meV/atom
! * SG: No. 123
! * N(E_F): 0.607 states/eV/atom

---

4.
! PBE Fe2P, optimized geometry; values from VASP
&SYSTEM
  ibrav = 0, nat = 3, ntyp = 2
/
ATOMIC_SPECIES
Fe 55.84 Fe.upf
P 30.97 P.upf
ATOMIC_POSITIONS crystal
Fe 0.333 0.667 0.252
Fe 0.667 0.333 0.748
P 0.000 0.000 0.500
CELL_PARAMETERS angstrom
3.769 0.000 0.000
-1.884 3.264 0.000
0.000 0.000 2.681
! * E_tot: -7.630 eV/atom
! * magnetization: 2.76 Bohr magnetons per cell
! * ΔE_f: -185 meV/atom
! * SG: No. 164
! * N(E_F): 1.135 states/eV/atom

---

5.
! PBE KMn2P, optimized geometry; values from VASP
&SYSTEM
  ibrav = 0, nat = 4, ntyp = 3
/
ATOMIC_SPECIES
K 39.10 K.upf
Mn 54.94 Mn.upf
P 30.97 P.upf
ATOMIC_POSITIONS crystal
K 0.000 0.000 0.000
Mn 0.191 0.191 0.574
Mn 0.809 0.809 0.426
P 0.500 0.500 0.500
CELL_PARAMETERS angstrom
3.439 -1.987 0.000
3.439 1.987 0.000
-2.316 0.000 6.320
! * E_tot: -6.138 eV/atom
! * magnetization: 5.10 Bohr magnetons per cell
! * ΔE_f: 74 meV/atom
! * SG: No. 12
! * N(E_F): 0.476 states/eV/atom

---

6.
! PBE TbHo4Mg4, optimized geometry; values from VASP
&SYSTEM
  ibrav = 0, nat = 18, ntyp = 3
/
ATOMIC_SPECIES
Tb 158.93 Tb.upf
Ho 164.93 Ho.upf
Mg 24.30 Mg.upf
ATOMIC_POSITIONS crystal
Tb 0.250 0.750 0.250
Tb 0.750 0.250 0.750
Ho 0.027 0.250 0.181
Ho 0.250 0.027 0.681
Ho 0.250 0.473 0.681
Ho 0.473 0.250 0.181
Ho 0.527 0.750 0.819
Ho 0.750 0.527 0.319
Ho 0.750 0.973 0.319
Ho 0.973 0.750 0.819
Mg 0.024 0.250 0.472
Mg 0.250 0.024 0.972
Mg 0.250 0.476 0.972
Mg 0.476 0.250 0.472
Mg 0.524 0.750 0.528
Mg 0.750 0.524 0.028
Mg 0.750 0.976 0.028
Mg 0.976 0.750 0.528
CELL_PARAMETERS angstrom
6.910 0.000 0.000
0.000 6.910 0.000
0.000 0.000 11.421
! * E_tot: -2.999 eV/atom
! * magnetization: 0.00 Bohr magnetons per cell
! * ΔE_f: 259 meV/atom
! * SG: No. 137
! * N(E_F): 1.137 states/eV/atom

---

7.
! PBE TcMo, optimized geometry; values from VASP
&SYSTEM
  ibrav = 0, nat = 2, ntyp = 2
/
ATOMIC_SPECIES
Tc 98.00 Tc.upf
Mo 95.94 Mo.upf
ATOMIC_POSITIONS crystal
Tc 0.000 0.000 0.000
Mo 0.500 0.500 0.500
CELL_PARAMETERS angstrom
0.000 2.569 2.569
2.569 0.000 2.569
2.569 2.569 0.000
! * E_tot: -9.605 eV/atom
! * energy above the lowest structure with this stoichiometry: 917.6 meV/atom
! * magnetization: 0.00 Bohr magnetons per cell
! * ΔE_f: 993 meV/atom
! * SG: No. 225
! * N(E_F): 1.057 states/eV/atom

---

8.
! PBE TiCuPb, optimized geometry; values from VASP
&SYSTEM
  ibrav = 0, nat = 6, ntyp = 3
/
ATOMIC_SPECIES
Ti 47.87 Ti.upf
Cu 63.55 Cu.upf
Pb 207.20 Pb.upf
ATOMIC_POSITIONS crystal
Ti 0.098 0.250 0.179
Ti 0.902 0.750 0.821
Cu 0.237 0.750 0.506
Cu 0.763 0.250 0.494
Pb 0.388 0.250 0.790
Pb 0.612 0.750 0.210
CELL_PARAMETERS angstrom
4.182 0.000 0.000
0.000 4.175 0.000
-1.625 0.000 6.277
! * E_tot: -5.111 eV/atom
! * magnetization: 0.00 Bohr magnetons per cell
! * ΔE_f: 123 meV/atom
! * SG: No. 11
! * N(E_F): 0.766 states/eV/atom

---

9.
! PBE La3TmSc3Se8, optimized geometry; values from VASP
&SYSTEM
  ibrav = 0, nat = 15, ntyp = 4
/
ATOMIC_SPECIES
La 138.91 La.upf
Tm 168.93 Tm.upf
Sc 44.96 Sc.upf
Se 78.96 Se.upf
ATOMIC_POSITIONS crystal
La 0.000 0.500 0.500
La 0.500 0.000 0.500
La 0.500 0.500 0.000
Tm 0.500 0.500 0.500
Sc 0.000 0.000 0.500
Sc 0.000 0.500 0.000
Sc 0.500 0.000 0.000
Se 0.230 0.749 0.749
Se 0.239 0.239 0.239
Se 0.251 0.251 0.770
Se 0.251 0.770 0.251
Se 0.749 0.230 0.749
Se 0.749 0.749 0.230
Se 0.761 0.761 0.761
Se 0.770 0.251 0.251
CELL_PARAMETERS angstrom
4.021 2.322 6.839
-4.021 2.322 6.839
0.000 -4.643 6.839
! * E_tot: -6.236 eV/atom
! * magnetization: 0.00 Bohr magnetons per cell
! * SG: No. 166
! * N(E_F): 0.531 states/eV/atom
! * energy relative to the elements, uncorrected: -1.828 eV per atom

---

10.
! PBE CsLiSn2Pt, optimized geometry; values from VASP
&SYSTEM
  ibrav = 0, nat = 5, ntyp = 4
/
ATOMIC_SPECIES
Cs 132.91 Cs.upf
Li 6.94 Li.upf
Sn 118.71 Sn.upf
Pt 195.08 Pt.upf
ATOMIC_POSITIONS crystal
Cs 0.000 0.000 0.000
Li 0.000 0.000 0.500
Sn 0.000 0.500 0.000
Sn 0.500 0.000 0.000
Pt 0.500 0.500 0.500
CELL_PARAMETERS angstrom
6.066 0.000 0.000
0.000 6.066 0.000
0.000 0.000 4.798
! * E_tot: -1.777 eV/atom
! * magnetization: 0.00 Bohr magnetons per cell
! * ΔE_f: 1586 meV/atom
! * SG: No. 123
! * N(E_F): 0.993 states/eV/atom

---

11.
! PBE RbCd3Rh, optimized geometry; values from VASP
&SYSTEM
  ibrav = 0, nat = 10, ntyp = 3
/
ATOMIC_SPECIES
Rb 85.47 Rb.upf
Cd 112.41 Cd.upf
Rh 102.91 Rh.upf
ATOMIC_POSITIONS crystal
Rb 0.000 0.000 0.000
Rb 0.000 0.180 0.426
Cd 0.001 0.502 0.045
Cd 0.001 0.591 0.713
Cd 0.001 0.678 0.380
Cd 0.501 0.284 0.723
Cd 0.501 0.590 0.213
Cd 0.501 0.898 0.702
Rh 0.501 0.569 0.890
Rh 0.501 0.612 0.536
CELL_PARAMETERS angstrom
4.711 0.000 0.000
0.006 7.305 0.000
0.001 1.104 8.732
! * E_tot: -2.262 eV/atom
! * energy above the lowest structure with this stoichiometry: 58.6 meV/atom
! * magnetization: 0.00 Bohr magnetons per cell
! * ΔE_f: -49 meV/atom
! * SG: No. 1
! * N(E_F): 0.564 states/eV/atom

---

12.
! PBE LaMo2Au, optimized geometry; values from VASP
&SYSTEM
  ibrav = 0, nat = 4, ntyp = 3
/
ATOMIC_SPECIES
La 138.91 La.upf
Mo 95.94 Mo.upf
Au 196.97 Au.upf
ATOMIC_POSITIONS crystal
La 0.000 0.000 0.000
Mo 0.000 0.500 0.500
Mo 0.500 0.000 0.500
Au 0.500 0.500 0.000
CELL_PARAMETERS angstrom
3.402 0.000 0.000
0.000 4.762 0.000
0.000 0.000 4.967
! * E_tot: -7.008 eV/atom
! * energy above the lowest structure with this stoichiometry: 368.6 meV/atom
! * magnetization: 0.00 Bohr magnetons per cell
! * ΔE_f: 459 meV/atom
! * SG: No. 47
! * N(E_F): 1.518 states/eV/atom

---

13.
! PBE LiHgSb2, optimized geometry; values from VASP
&SYSTEM
  ibrav = 0, nat = 4, ntyp = 3
/
ATOMIC_SPECIES
Li 6.94 Li.upf
Hg 200.59 Hg.upf
Sb 121.76 Sb.upf
ATOMIC_POSITIONS crystal
Li 0.000 0.000 0.000
Hg 0.500 0.500 0.000
Sb 0.000 0.500 0.500
Sb 0.500 0.000 0.500
CELL_PARAMETERS angstrom
3.309 -4.544 0.000
3.309 4.544 0.000
-0.557 0.000 3.270
! * E_tot: -2.692 eV/atom
! * magnetization: 0.00 Bohr magnetons per cell
! * SG: No. 12
! * N(E_F): 0.401 states/eV/atom
! * energy relative to the elements, uncorrected: -0.077 eV per atom

---

14.
! PBE La2Pm7Tm4, optimized geometry; values from VASP
&SYSTEM
  ibrav = 0, nat = 13, ntyp = 3
/
ATOMIC_SPECIES
La 138.91 La.upf
Pm 145.00 Pm.upf
Tm 168.93 Tm.upf
ATOMIC_POSITIONS crystal
La 0.333 0.667 0.000
La 0.667 0.333 0.000
Pm 0.000 0.000 0.000
Pm 0.000 0.370 0.226
Pm 0.000 0.630 0.774
Pm 0.370 0.000 0.226
Pm 0.370 0.370 0.774
Pm 0.630 0.000 0.774
Pm 0.630 0.630 0.226
Tm 0.000 0.000 0.393
Tm 0.000 0.000 0.607
Tm 0.333 0.667 0.500
Tm 0.667 0.333 0.500
CELL_PARAMETERS angstrom
6.203 0.000 0.000
-3.101 5.372 0.000
0.000 0.000 13.190
! * E_tot: -4.502 eV/atom
! * magnetization: 0.00 Bohr magnetons per cell
! * ΔE_f: 190 meV/atom
! * SG: No. 162
! * N(E_F): 1.359 states/eV/atom

---

15.
! PBE LaTc4, optimized geometry; values from VASP
&SYSTEM
  ibrav = 0, nat = 5, ntyp = 2
/
ATOMIC_SPECIES
La 138.91 La.upf
Tc 98.00 Tc.upf
ATOMIC_POSITIONS crystal
La 0.000 0.000 0.000
Tc 0.000 0.000 0.500
Tc 0.000 0.500 0.000
Tc 0.500 0.000 0.000
Tc 0.500 0.500 0.500
CELL_PARAMETERS angstrom
4.691 0.000 0.000
0.000 4.691 0.000
0.000 0.000 4.691
! * E_tot: -6.917 eV/atom
! * energy above the lowest structure with this stoichiometry: 2302.9 meV/atom
! * magnetization: 1.75 Bohr magnetons per cell
! * ΔE_f: 2361 meV/atom
! * SG: No. 221
! * N(E_F): 1.008 states/eV/atom

---

16.
! PBE AgTeSeN2, optimized geometry; values from VASP
&SYSTEM
  ibrav = 0, nat = 5, ntyp = 4
/
ATOMIC_SPECIES
Ag 107.87 Ag.upf
Te 127.60 Te.upf
Se 78.96 Se.upf
N 14.01 N.upf
ATOMIC_POSITIONS crystal
Ag 0.000 0.000 0.000
Te 0.500 0.500 0.500
Se 0.500 0.500 0.000
N 0.000 0.500 0.500
N 0.500 0.000 0.500
CELL_PARAMETERS angstrom
3.933 0.000 0.000
0.000 3.933 0.000
0.000 0.000 6.110
! * E_tot: -3.934 eV/atom
! * energy above the lowest structure with this stoichiometry: 0.0 meV/atom
! * magnetization: 0.21 Bohr magnetons per cell
! * SG: No. 123
! * N(E_F): 0.610 states/eV/atom
! * energy relative to the elements, uncorrected: 1.291 eV per atom

---

17.
! PBE Ac2Pr9Dy, optimized geometry; values from VASP
&SYSTEM
  ibrav = 0, nat = 12, ntyp = 3
/
ATOMIC_SPECIES
Ac 227.00 Ac.upf
Pr 140.91 Pr.upf
Dy 162.50 Dy.upf
ATOMIC_POSITIONS crystal
Ac 0.000 0.000 0.170
Ac 0.000 0.000 0.830
Pr 0.000 0.500 0.000
Pr 0.000 0.500 0.342
Pr 0.000 0.500 0.658
Pr 0.500 0.000 0.000
Pr 0.500 0.000 0.342
Pr 0.500 0.000 0.658
Pr 0.500 0.500 0.163
Pr 0.500 0.500 0.500
Pr 0.500 0.500 0.837
Dy 0.000 0.000 0.500
CELL_PARAMETERS angstrom
6.215 0.000 0.000
0.000 6.215 0.000
0.000 0.000 11.535
! * E_tot: -4.543 eV/atom
! * magnetization: 0.00 Bohr magnetons per cell
! * ΔE_f: 110 meV/atom
! * SG: No. 123
! * N(E_F): 2.211 states/eV/atom

---

18.
! PBE Sr2AlW, optimized geometry; values from VASP
&SYSTEM
  ibrav = 0, nat = 4, ntyp = 3
/
ATOMIC_SPECIES
Sr 87.62 Sr.upf
Al 26.98 Al.upf
W 183.84 W.upf
ATOMIC_POSITIONS crystal
Sr 0.000 0.000 0.000
Sr 0.250 0.250 0.250
Al 0.500 0.500 0.500
W 0.750 0.750 0.750
CELL_PARAMETERS angstrom
0.000 3.753 3.753
3.753 0.000 3.753
3.753 3.753 0.000
! * E_tot: -4.073 eV/atom
! * magnetization: 3.10 Bohr magnetons per cell
! * ΔE_f: 942 meV/atom
! * SG: No. 216
! * N(E_F): 1.647 states/eV/atom

---

19.
! PBE NiI3, optimized geometry; values from VASP
&SYSTEM
  ibrav = 0, nat = 4, ntyp = 2
/
ATOMIC_SPECIES
Ni 58.69 Ni.upf
I 126.90 I.upf
ATOMIC_POSITIONS crystal
Ni 0.000 0.000 0.000
I 0.250 0.250 0.250
I 0.500 0.500 0.500
I 0.750 0.750 0.750
CELL_PARAMETERS angstrom
0.000 3.864 3.864
3.864 0.000 3.864
3.864 3.864 0.000
! * E_tot: -1.719 eV/atom
! * magnetization: 0.00 Bohr magnetons per cell
! * SG: No. 225
! * N(E_F): 2.659 states/eV/atom
! * energy relative to the elements, uncorrected: 0.889 eV per atom

---

20.
! PBE MoOs2Pd, optimized geometry; values from VASP
&SYSTEM
  ibrav = 0, nat = 4, ntyp = 3
/
ATOMIC_SPECIES
Mo 95.94 Mo.upf
Os 190.23 Os.upf
Pd 106.42 Pd.upf
ATOMIC_POSITIONS crystal
Mo 0.000 0.000 0.000
Os 0.000 0.500 0.500
Os 0.500 0.000 0.500
Pd 0.500 0.500 0.000
CELL_PARAMETERS angstrom
3.917 0.000 0.000
0.000 3.917 0.000
0.000 0.000 3.844
! * E_tot: -9.517 eV/atom
! * energy above the lowest structure with this stoichiometry: 0.0 meV/atom
! * magnetization: 0.00 Bohr magnetons per cell
! * ΔE_f: 104 meV/atom
! * SG: No. 123
! * N(E_F): 0.559 states/eV/atom